1.
# LaMn

A geometry-optimized LaMn structure (PBE, Alexandria).

CIF file:
```
data_LaMn
_symmetry_space_group_name_H-M 'F m -3 m'
_symmetry_Int_Tables_number 225
_symmetry_space_group_name_Hall '-F 4 2 3'
_cell_length_a 6.0584
_cell_length_b 6.0584
_cell_length_c 6.0584
_cell_angle_alpha 90.00
_cell_angle_beta 90.00
_cell_angle_gamma 90.00
loop_
_atom_site_label
_atom_site_type_symbol
_atom_site_fract_x
_atom_site_fract_y
_atom_site_fract_z
_atom_site_occupancy
La1 La 0.0000 0.0000 0.0000 1
Mn1 Mn 0.0000 0.0000 0.5000 1
```

Values from the calculation:
**M_tot**: 11.62 μB/cell
**Electronic total energy**: -0.236 Ha/atom
**Density of states at the Fermi level**: 1.39 states/eV/atom
**Crystal system**: cubic

2.
# TbUSe2

A geometry-optimized TbUSe2 structure (PBE, Alexandria).

CIF file:
```
data_TbUSe2
_symmetry_space_group_name_H-M 'R 3 m'
_symmetry_Int_Tables_number 160
_symmetry_space_group_name_Hall 'R 3 -2"'
_cell_length_a 3.8972
_cell_length_b 3.8972
_cell_length_c 22.1869
_cell_angle_alpha 90.00
_cell_angle_beta 90.00
_cell_angle_gamma 120.00
loop_
_atom_site_label
_atom_site_type_symbol
_atom_site_fract_x
_atom_site_fract_y
_atom_site_fract_z
_atom_site_occupancy
Tb1 Tb 0.0000 0.0000 0.0000 1
U1 U 0.0000 0.0000 0.8262 1
Se1 Se 0.0000 0.0000 0.4109 1
Se2 Se 0.0000 0.0000 0.5819 1
```

Values from the calculation:
**Offset from the most stable computed form**: 46.9 meV/atom
**M_tot**: 9.82 μB/cell
**Density of states at the Fermi level**: 0.85 states/eV/atom
**Crystal system**: trigonal
**Formation energy (no corrections)**: -1331 meV/atom

3.
# BaLiSc2Ta

A geometry-optimized BaLiSc2Ta structure (PBE, Alexandria).

CIF file:
```
data_BaLiSc2Ta
_symmetry_space_group_name_H-M 'P 4/m m m'
_symmetry_Int_Tables_number 123
_symmetry_space_group_name_Hall '-P 4 2'
_cell_length_a 5.3057
_cell_length_b 5.3057
_cell_length_c 4.5127
_cell_angle_alpha 90.00
_cell_angle_beta 90.00
_cell_angle_gamma 90.00
loop_
_atom_site_label
_atom_site_type_symbol
_atom_site_fract_x
_atom_site_fract_y
_atom_site_fract_z
_atom_site_occupancy
Ba1 Ba 0.0000 0.0000 0.0000 1
Li1 Li 0.0000 0.0000 0.5000 1
Sc1 Sc 0.0000 0.5000 0.0000 1
Ta1 Ta 0.5000 0.5000 0.5000 1
```

Values from the calculation:
**M_tot**: 1.29 μB/cell
**Electronic total energy**: -0.147 Ha/atom
**Density of states at the Fermi level**: 1.24 states/eV/atom
**Crystal system**: tetragonal

4.
# BaSn2HgAs

A geometry-optimized BaSn2HgAs structure (PBE, Alexandria).

CIF file:
```
data_BaSn2HgAs
_symmetry_space_group_name_H-M 'P 4/m m m'
_symmetry_Int_Tables_number 123
_symmetry_space_group_name_Hall '-P 4 2'
_cell_length_a 5.6185
_cell_length_b 5.6185
_cell_length_c 5.4650
_cell_angle_alpha 90.00
_cell_angle_beta 90.00
_cell_angle_gamma 90.00
loop_
_atom_site_label
_atom_site_type_symbol
_atom_site_fract_x
_atom_site_fract_y
_atom_site_fract_z
_atom_site_occupancy
Ba1 Ba 0.0000 0.0000 0.0000 1
Sn1 Sn 0.0000 0.5000 0.5000 1
Hg1 Hg 0.5000 0.5000 0.5000 1
As1 As 0.5000 0.5000 0.0000 1
```

Values from the calculation:
**M_tot**: 0.00 μB/cell
**Electronic total energy**: -0.107 Ha/atom
**Density of states at the Fermi level**: 0.71 states/eV/atom
**Crystal system**: tetragonal

5.
# Sm4Te5I

A geometry-optimized Sm4Te5I structure (PBE, Alexandria).

CIF file:
```
data_Sm4Te5I
_symmetry_space_group_name_H-M 'P m m n'
_symmetry_Int_Tables_number 59
_cell_length_a 9.2503
_cell_length_b 10.9594
_cell_length_c 7.7536
_cell_angle_alpha 90.00
_cell_angle_beta 90.00
_cell_angle_gamma 90.00
loop_
_symmetry_equiv_pos_as_xyz
'x,y,z'
'-x,-y,-z'
'-x+1/2,-y+1/2,z'
'x+1/2,y+1/2,-z'
'x+1/2,-y,-z'
'-x+1/2,y,z'
'-x,y+1/2,-z'
'x,-y+1/2,z'
loop_
_atom_site_label
_atom_site_type_symbol
_atom_site_fract_x
_atom_site_fract_y
_atom_site_fract_z
_atom_site_occupancy
Sm1 Sm 0.0392 0.2500 0.0491 1
Sm2 Sm 0.2500 0.5010 0.5054 1
Te1 Te 0.0059 0.5510 0.2354 1
Te2 Te 0.2500 0.2500 0.3555 1
I1 I 0.2500 0.7500 0.7173 1
```

Values from the calculation:
**M_tot**: 2.01 μB/cell
**Crystal system**: orthorhombic
**Formation energy (no corrections)**: -1180 meV/atom

6.
# RbNaMo3

A geometry-optimized RbNaMo3 structure (PBE, Alexandria).

CIF file:
```
data_RbNaMo3
_symmetry_space_group_name_H-M 'P m -3 m'
_symmetry_Int_Tables_number 221
_symmetry_space_group_name_Hall '-P 4 2 3'
_cell_length_a 5.2147
_cell_length_b 5.2147
_cell_length_c 5.2147
_cell_angle_alpha 90.00
_cell_angle_beta 90.00
_cell_angle_gamma 90.00
loop_
_atom_site_label
_atom_site_type_symbol
_atom_site_fract_x
_atom_site_fract_y
_atom_site_fract_z
_atom_site_occupancy
Rb1 Rb 0.0000 0.0000 0.0000 1
Na1 Na 0.5000 0.5000 0.5000 1
Mo1 Mo 0.0000 0.5000 0.5000 1
```

Values from the calculation:
**Offset from the most stable computed form**: 0.0 meV/atom
**M_tot**: 10.28 μB/cell
**Density of states at the Fermi level**: 1.47 states/eV/atom
**Crystal system**: cubic

7.
# Ho3Cu3Bi4

A geometry-optimized Ho3Cu3Bi4 structure (PBE, Alexandria).

CIF file:
```
data_Ho3Cu3Bi4
_symmetry_space_group_name_H-M 'I -4 3 d'
_symmetry_Int_Tables_number 220
_symmetry_space_group_name_Hall 'I -4bd 2c 3'
_cell_length_a 9.8161
_cell_length_b 9.8161
_cell_length_c 9.8161
_cell_angle_alpha 90.00
_cell_angle_beta 90.00
_cell_angle_gamma 90.00
loop_
_atom_site_label
_atom_site_type_symbol
_atom_site_fract_x
_atom_site_fract_y
_atom_site_fract_z
_atom_site_occupancy
Ho1 Ho 0.0000 0.2500 0.3750 1
Cu1 Cu 0.0000 0.2500 0.8750 1
Bi1 Bi 0.0832 0.0832 0.0832 1
```

Values from the calculation:
**M_tot**: 0.00 μB/cell
**Electronic total energy**: -0.171 Ha/atom
**Density of states at the Fermi level**: 0.02 states/eV/atom
**Crystal system**: cubic

8.
# ZnMo

A geometry-optimized ZnMo structure (PBE, Alexandria).

CIF file:
```
data_ZnMo
_symmetry_space_group_name_H-M 'P 4/m'
_symmetry_Int_Tables_number 83
_symmetry_space_group_name_Hall '-P 4'
_cell_length_a 9.7564
_cell_length_b 9.7564
_cell_length_c 2.6394
_cell_angle_alpha 90.00
_cell_angle_beta 90.00
_cell_angle_gamma 90.00
loop_
_atom_site_label
_atom_site_type_symbol
_atom_site_fract_x
_atom_site_fract_y
_atom_site_fract_z
_atom_site_occupancy
Zn1 Zn 0.0804 0.8117 0.0000 1
Zn2 Zn 0.1181 0.2916 0.5000 1
Mo1 Mo 0.1249 0.5595 0.5000 1
Mo2 Mo 0.3489 0.3848 0.0000 1
```

Values from the calculation:
**Offset from the most stable computed form**: 299.0 meV/atom
**M_tot**: 0.00 μB/cell
**Density of states at the Fermi level**: 0.67 states/eV/atom
**Crystal system**: tetragonal

9.
# ScTlP4

A geometry-optimized ScTlP4 structure (PBE, Alexandria).

CIF file:
```
data_ScTlP4
_symmetry_space_group_name_H-M 'F -4 3 m'
_symmetry_Int_Tables_number 216
_symmetry_space_group_name_Hall 'F -4 2 3'
_cell_length_a 7.5573
_cell_length_b 7.5573
_cell_length_c 7.5573
_cell_angle_alpha 90.00
_cell_angle_beta 90.00
_cell_angle_gamma 90.00
loop_
_atom_site_label
_atom_site_type_symbol
_atom_site_fract_x
_atom_site_fract_y
_atom_site_fract_z
_atom_site_occupancy
Sc1 Sc 0.0000 0.0000 0.0000 1
Tl1 Tl 0.2500 0.2500 0.7500 1
P1 P 0.1289 0.1289 0.3711 1
```

Values from the calculation:
**M_tot**: 0.00 μB/cell
**Electronic total energy**: -0.179 Ha/atom
**Density of states at the Fermi level**: 0.86 states/eV/atom
**Crystal system**: cubic

10.
# CaCu2Ag2

A geometry-optimized CaCu2Ag2 structure (PBE, Alexandria).

CIF file:
```
data_CaCu2Ag2
_symmetry_space_group_name_H-M 'P 4/m b m'
_symmetry_Int_Tables_number 127
_symmetry_space_group_name_Hall '-P 4 2ab'
_cell_length_a 7.6020
_cell_length_b 7.6020
_cell_length_c 3.1065
_cell_angle_alpha 90.00
_cell_angle_beta 90.00
_cell_angle_gamma 90.00
loop_
_atom_site_label
_atom_site_type_symbol
_atom_site_fract_x
_atom_site_fract_y
_atom_site_fract_z
_atom_site_occupancy
Ca1 Ca 0.0000 0.0000 0.0000 1
Cu1 Cu 0.1185 0.3815 0.0000 1
Ag1 Ag 0.1741 0.6741 0.5000 1
```

Values from the calculation:
**Offset from the most stable computed form**: 59.0 meV/atom
**M_tot**: 0.00 μB/cell
**Density of states at the Fermi level**: 0.41 states/eV/atom
**Crystal system**: tetragonal

11.
# Tl2IrW

A geometry-optimized Tl2IrW structure (PBE, Alexandria).

CIF file:
```
data_Tl2IrW
_symmetry_space_group_name_H-M 'I m m 2'
_symmetry_Int_Tables_number 44
_symmetry_space_group_name_Hall 'I 2 -2'
_cell_length_a 2.9411
_cell_length_b 4.8862
_cell_length_c 11.6727
_cell_angle_alpha 90.00
_cell_angle_beta 90.00
_cell_angle_gamma 90.00
loop_
_atom_site_label
_atom_site_type_symbol
_atom_site_fract_x
_atom_site_fract_y
_atom_site_fract_z
_atom_site_occupancy
Tl1 Tl 0.0000 0.0000 0.0000 1
Tl2 Tl 0.0000 0.5000 0.2020 1
Ir1 Ir 0.0000 0.0000 0.4273 1
W1 W 0.0000 0.5000 0.7485 1
```

Values from the calculation:
**Offset from the most stable computed form**: 330.8 meV/atom
**M_tot**: 0.00 μB/cell
**Density of states at the Fermi level**: 0.41 states/eV/atom
**Crystal system**: orthorhombic

12.
# DyAgPb2S4

A geometry-optimized DyAgPb2S4 structure (PBE, Alexandria).

CIF file:
```
data_DyAgPb2S4
_symmetry_space_group_name_H-M 'P 1 2/m 1'
_symmetry_Int_Tables_number 10
_symmetry_space_group_name_Hall '-P 2y'
_cell_length_a 6.9921
_cell_length_b 4.0754
_cell_length_c 7.1975
_cell_angle_alpha 90.00
_cell_angle_beta 109.36
_cell_angle_gamma 90.00
loop_
_atom_site_label
_atom_site_type_symbol
_atom_site_fract_x
_atom_site_fract_y
_atom_site_fract_z
_atom_site_occupancy
Dy1 Dy 0.0000 0.0000 0.0000 1
Ag1 Ag 0.5000 0.5000 0.0000 1
Pb1 Pb 0.0000 0.5000 0.5000 1
Pb2 Pb 0.5000 0.0000 0.5000 1
S1 S 0.2339 0.5000 0.2280 1
S2 S 0.2519 0.0000 0.7732 1
```

Values from the calculation:
**M_tot**: 0.00 μB/cell
**Crystal system**: monoclinic
**Formation energy (no corrections)**: -869 meV/atom